# 1
First-principles (PBE) data for KLiPdCl6 after structural relaxation, as listed in Alexandria.

The structure in extended XYZ format:
```
9
Lattice="-1.190 6.313 -0.208 -5.200 2.390 2.927 3.700 0.890 5.846" Properties=species:S:1:pos:R:3 pbc="T T T"
K 2.510 7.203 5.637
Li -2.409 6.246 4.735
Pd -0.280 3.346 3.829
Cl -0.747 1.272 2.819
Cl 2.024 2.919 4.057
Cl -0.016 5.387 4.972
Cl -0.686 2.252 5.873
Cl -2.521 3.999 3.527
Cl 0.267 4.248 1.725
```

## Properties
Magnetic moment in μB per formula unit: 0.00
Formation energy (no corrections) in eV/atom: -1.0471
DFT total energy in eV/atom: -3.1897
Space group: P312 (149)

# 2
First-principles (PBE) data for AlAsP2Cl after structural relaxation, as listed in Alexandria.

The structure in extended XYZ format:
```
5
Lattice="-0.578 -4.047 -2.465 4.701 -0.801 0.213 -0.552 -2.233 3.797" Properties=species:S:1:pos:R:3 pbc="T T T"
P 2.350 -0.400 0.106
P -0.289 -2.023 -1.232
As 1.785 -3.540 0.773
Al 0.000 0.000 0.000
Cl -0.276 -1.117 1.898
```

## Properties
Magnetic moment in μB per formula unit: 0.00
Formation energy (no corrections) in eV/atom: 0.4281
DFT total energy in eV/atom: -3.7836
Offset from the most stable computed form in meV per atom: 0
Space group: P4/mmm (123)

# 3
First-principles (PBE) data for Mg2BeRu after structural relaxation, as listed in Alexandria.

The structure in extended XYZ format:
```
4
Lattice="-3.089 1.906 1.231 -1.578 -0.632 -2.981 -2.655 -4.541 0.372" Properties=species:S:1:pos:R:3 pbc="T T T"
Ru -2.439 -2.763 -1.838
Mg -4.013 -4.861 -2.540
Mg -2.846 -0.703 -0.084
Be -4.374 -2.698 -0.829
```

## Properties
Magnetic moment in μB per formula unit: 0.00
DFT total energy in eV/atom: -3.9826
Formation enthalpy at 0 K in meV per atom: 65
Space group: Pm (6)